Below is a geometry-optimized LiLaCd structure, with properties calculated at the PBEsol level.

Crystal system: hexagonal
Distance to the lowest polymorph of the same formula (kJ/mol of atoms): 0.00
ΔH_f (0 K) (eV/atom): -0.211

Cell: 5.0625 5.0625 3.3196 Å, 90.00 90.00 120.00°
Closest atoms and distances in Å follow each position.
Space group P-6m2 (No. 187)
One atom of each set of equivalent atoms:
Li  0.0000  0.0000  0.0000  3 Cd 2.92
La  0.6667  0.3333  0.5000  2 La 3.32, 6 Li 3.36, 6 Cd 3.36
Cd  0.3333  0.6667  0.0000  3 Li 2.92